A geometry-optimized TmHfNiPt structure. Source: Alexandria, functional PBE.

abc: 6.654 6.654 6.654
angles: 90.00 90.00 90.00
Space group F-43m (No. 216)
One atom of each set of equivalent atoms:
Tm (0.000, 0.000, 0.000) [4 per cell]
Hf (0.000, 0.000, 0.500) [4 per cell]
Ni (0.250, 0.250, 0.750) [4 per cell]
Pt (0.250, 0.250, 0.250) [4 per cell]

Its total energy is -116.995 eV for the cell shown. For the density of states at the Fermi level, the calculation gives 13.36 states/eV/cell. Its formation energy is -0.750 eV/atom.